1.
Material: Hf8ReSb2
Method: DFT, PBE-GGA
State: optimized geometry

abc: 8.3136 8.3136 7.2002
angles: 110.31 110.31 30.91
Last column: nearest neighbours and their distance in Å.
Fractional coordinates of all 11 atoms:
Hf: 0.0321 0.0321 0.3053  2 Re 2.77, 4 Hf 2.99, 1 Sb 3.06
Hf: 0.1697 0.1697 0.7473  3 Sb 2.94-3.03, 7 Hf 3.12-3.29
Hf: 0.3335 0.3335 0.5743  1 Re 2.90, 3 Sb 2.97-3.00, 4 Hf 2.99-3.19
Hf: 0.4188 0.4188 0.0656  1 Re 2.92, 2 Sb 2.97, 5 Hf 2.99-3.18
Hf: 0.5812 0.5812 0.9344  1 Re 2.92, 2 Sb 2.97, 5 Hf 2.99-3.18
Hf: 0.6665 0.6665 0.4257  1 Re 2.90, 3 Sb 2.97-3.00, 4 Hf 2.99-3.19
Hf: 0.8303 0.8303 0.2527  3 Sb 2.94-3.03, 7 Hf 3.12-3.29
Hf: 0.9679 0.9679 0.6947  2 Re 2.77, 4 Hf 2.99, 1 Sb 3.06
Re: 0.5000 0.5000 0.5000  8 Hf 2.77-2.92
Sb: 0.1927 0.1927 0.1711  9 Hf 2.94-3.06
Sb: 0.8073 0.8073 0.8289  9 Hf 2.94-3.06

- magnetization (μB/f.u.) = 0.00
- uncorrected energy (eV for the cell shown) = -102.532
- space-group type = C2/m

---

2.
Material: NaPaPd
Method: DFT, PBE-GGA
State: optimized geometry

abc: 3.5973 3.5973 11.3674
angles: 90.00 90.00 90.00
Last column: nearest neighbours and their distance in Å.
Fractional coordinates of all 6 atoms:
Na: 0.2500 0.2500 0.1128  4 Pd 3.27, 1 Pa 3.40, 8 Na 3.60-3.61
Na: 0.7500 0.7500 0.8872  4 Pd 3.27, 1 Pa 3.40, 8 Na 3.60-3.61
Pa: 0.2500 0.2500 0.4122  4 Pd 2.88
Pa: 0.7500 0.7500 0.5878  4 Pd 2.88
Pd: 0.2500 0.2500 0.7068  4 Pa 2.88
Pd: 0.7500 0.7500 0.2932  4 Pa 2.88

- magnetization (μB/f.u.) = 0.01
- uncorrected energy (eV for the cell shown) = -33.371
- space-group type = P4/nmm

---

3.
Material: Zn2As
Method: DFT, PBE-GGA
State: optimized geometry

abc: 5.6369 5.6369 8.3841
angles: 90.00 90.00 120.00
Last column: nearest neighbours and their distance in Å.
Fractional coordinates of all 12 atoms:
Zn: 0.0000 0.0000 0.0000  6 Zn 2.63
Zn: 0.0000 0.0000 0.5000  6 Zn 2.63
Zn: 0.1635 0.3271 0.2500  2 As 2.57, 6 Zn 2.63-2.87
Zn: 0.1635 0.8365 0.2500  2 As 2.57, 6 Zn 2.63-2.87
Zn: 0.3271 0.1635 0.7500  2 As 2.57, 6 Zn 2.63-2.87
Zn: 0.6729 0.8365 0.2500  2 As 2.57, 6 Zn 2.63-2.87
Zn: 0.8365 0.1635 0.7500  2 As 2.57, 6 Zn 2.63-2.87
Zn: 0.8365 0.6729 0.7500  2 As 2.57, 6 Zn 2.63-2.87
As: 0.3333 0.6667 0.0160  3 Zn 2.57
As: 0.3333 0.6667 0.4840  3 Zn 2.57
As: 0.6667 0.3333 0.5160  3 Zn 2.57
As: 0.6667 0.3333 0.9840  3 Zn 2.57

- magnetization (μB/f.u.) = 0.00
- uncorrected energy (eV for the cell shown) = -26.295
- space-group type = P6_3/mmc
- excess energy over the best structure of this formula in the dataset (meV/atom) = 189

---

4.
Material: MgTc2Pb
Method: DFT, PBE-GGA
State: optimized geometry

abc: 5.0815 5.0815 5.0815
angles: 131.79 131.79 70.56
Last column: nearest neighbours and their distance in Å.
Fractional coordinates of all 4 atoms:
Mg: 0.0000 0.0000 0.0000  8 Tc 2.93, 4 Pb 2.94
Tc: 0.2500 0.7500 0.5000  4 Pb 2.93, 4 Mg 2.93, 4 Tc 2.94
Tc: 0.7500 0.2500 0.5000  4 Pb 2.93, 4 Mg 2.93, 4 Tc 2.94
Pb: 0.5000 0.5000 0.0000  8 Tc 2.93, 4 Mg 2.94

- magnetization (μB/f.u.) = 3.14
- uncorrected energy (eV for the cell shown) = -23.697
- space-group type = I4/mmm
- excess energy over the best structure of this formula in the dataset (meV/atom) = 462